## Zr2Al4Si (GGA-PBE)

Data for a relaxed Zr2Al4Si crystal.

extended XYZ file:
```
14
Lattice="3.219 0.000 0.000 -1.610 2.594 -0.012 0.000 8.873 31.269" Properties=species:S:1:pos:R:3 pbc="T T T"
Al 1.610 9.763 30.192
Si 1.610 5.377 18.615
Al 0.000 1.703 1.066
Zr 1.610 7.935 27.828
Al 0.000 8.446 25.400
Zr 0.000 3.532 3.429
Zr 1.610 8.929 22.951
Al 1.610 5.307 14.570
Al 1.610 7.137 20.581
Si 0.000 6.089 12.642
Al 0.000 4.330 10.676
Zr 0.000 2.538 8.306
Al 1.610 3.021 5.858
Al 0.000 6.160 16.687
```

Properties
* Fermi-level density of states: 7.33 states/eV/cell
* total magnetic moment: 0.00 Bohr magnetons per cell
* energy above the most stable polymorph in this dataset: 0.235 eV per atom
* formation energy without anion corrections: -0.057 eV per atom
* calculated volume: 261 Å³/cell

---

## ZrAl2Si (GGA-PBE)

Data for a relaxed ZrAl2Si crystal.

extended XYZ file:
```
4
Lattice="4.749 0.000 0.000 0.000 2.893 -0.031 0.000 0.064 5.107" Properties=species:S:1:pos:R:3 pbc="T T T"
Si 2.374 0.739 1.269
Al 0.000 0.765 5.085
Al 0.000 0.778 2.559
Zr 2.374 2.218 3.807
```

Properties
* Fermi-level density of states: 0.98 states/eV/cell
* total magnetic moment: 0.00 Bohr magnetons per cell
* formation energy without anion corrections: -0.266 eV per atom
* calculated volume: 70 Å³/cell

---

## ZrAl2Si5 (GGA-PBE)

Data for a relaxed ZrAl2Si5 crystal.

extended XYZ file:
```
16
Lattice="4.622 0.000 0.000 0.000 5.383 0.000 0.000 0.000 10.361" Properties=species:S:1:pos:R:3 pbc="T T T"
Si 0.000 1.369 2.636
Al 2.311 3.900 3.915
Al 2.311 1.208 1.265
Si 2.311 4.021 1.294
Al 2.311 1.483 6.446
Si 2.311 1.363 9.068
Si 0.000 0.000 0.000
Zr 0.000 0.000 5.181
Si 0.000 4.015 7.725
Al 2.311 4.175 9.096
Si 2.311 4.055 6.474
Si 0.000 1.323 7.817
Si 0.000 4.061 2.545
Si 2.311 1.329 3.887
Zr 0.000 2.692 0.000
Si 0.000 2.692 5.181
```

Properties
* Fermi-level density of states: 8.05 states/eV/cell
* total magnetic moment: 0.00 Bohr magnetons per cell
* energy above the most stable polymorph in this dataset: 0.000 eV per atom
* formation energy without anion corrections: 0.000 eV per atom
* calculated volume: 258 Å³/cell

---

## ZrAl2Si (GGA-PBE)

Data for a relaxed ZrAl2Si crystal.

extended XYZ file:
```
4
Lattice="2.888 -0.024 0.000 -0.101 2.886 0.000 0.000 0.000 8.360" Properties=species:S:1:pos:R:3 pbc="T T T"
Zr 1.393 1.431 6.163
Al 0.000 0.000 0.086
Si 0.000 0.000 4.126
Al 1.393 1.431 2.165
```

Properties
* Fermi-level density of states: 3.01 states/eV/cell
* total magnetic moment: 0.00 Bohr magnetons per cell
* formation energy without anion corrections: -0.113 eV per atom
* calculated volume: 70 Å³/cell